DFT (PBE) results for PtSCl2 after structural relaxation.

abc: 4.664 4.664 4.664
angles: 60.00 60.00 60.00
Fractional coordinates of all 4 atoms:
Pt (0.000, 0.000, 0.000)
S (0.500, 0.500, 0.500)
Cl (0.250, 0.250, 0.250)
Cl (0.750, 0.750, 0.750)

## Properties
Total magnetization: 0.260 μB/atom
Relative energy among the computed polymorphs: 851.7 meV/atom
Fermi-level density of states: 4.2 states/eV/f.u.
Crystal system: cubic
E_form (uncorrected): 4.1 eV/f.u.
Volume: 72 Å³/f.u.